! LiIrSeO (GGA-PBE, optimized geometry); values from VASP
&SYSTEM
  ibrav = 0, nat = 16, ntyp = 4
/
ATOMIC_SPECIES
Ir 192.22 Ir.upf
Li 6.94 Li.upf
Se 78.96 Se.upf
O 16.00 O.upf
CELL_PARAMETERS angstrom
5.1597 0.0000 0.0000
0.0001 5.3426 0.0000
0.0004 1.8924 8.8313
ATOMIC_POSITIONS crystal
Ir 0.6123 0.1288 0.8550
Ir 0.7248 0.5526 0.1428
Ir 0.1123 0.8712 0.1451
Ir 0.2249 0.4473 0.8573
Li 0.0530 0.9238 0.8184
Li 0.5529 0.0762 0.1816
Li 0.3517 0.2976 0.5930
Li 0.8517 0.7024 0.4070
Se 0.3744 0.5622 0.3263
Se 0.9791 0.1812 0.2919
Se 0.8744 0.4379 0.6737
Se 0.4792 0.8188 0.7081
O 0.9915 0.1328 0.9600
O 0.4916 0.8672 0.0400
O 0.0131 0.6464 0.9873
O 0.5131 0.3536 0.0126
! excess energy over the best structure of this formula in the dataset: 76.6 meV/atom